# 1
InSeSO2 | PBE | optimized geometry Values from VASP.

Summary:
Crystal system: tetragonal
E_form (uncorrected), eV/atom: -0.14

Quantum ESPRESSO input file:
```
&SYSTEM
  ibrav = 0, nat = 5, ntyp = 4
/
ATOMIC_SPECIES
In 114.82 In.upf
Se 78.96 Se.upf
S 32.06 S.upf
O 16.00 O.upf
CELL_PARAMETERS angstrom
3.777 0.000 0.000
0.000 3.777 0.000
0.000 0.000 6.838
ATOMIC_POSITIONS crystal
In 0.000 0.000 0.000
Se 0.000 0.000 0.500
S 0.500 0.500 0.000
O 0.000 0.500 0.500
O 0.500 0.000 0.500
```

---

# 2
MnMoIr2I | PBE | optimized geometry Values from VASP.

Summary:
Crystal system: tetragonal
E_form (uncorrected), eV/atom: 2.07

Quantum ESPRESSO input file:
```
&SYSTEM
  ibrav = 0, nat = 5, ntyp = 4
/
ATOMIC_SPECIES
Mn 54.94 Mn.upf
Mo 95.94 Mo.upf
Ir 192.22 Ir.upf
I 126.90 I.upf
CELL_PARAMETERS angstrom
4.737 0.000 0.000
0.000 4.737 0.000
0.000 0.000 5.231
ATOMIC_POSITIONS crystal
Mn 0.000 0.000 0.000
Mo 0.500 0.500 0.500
Ir 0.000 0.500 0.500
Ir 0.500 0.000 0.500
I 0.500 0.500 0.000
```

---

# 3
TlZnBi2 | PBE | optimized geometry Values from VASP.

Summary:
Crystal system: trigonal
Electronic total energy, eV for the cell shown: -10.9

Quantum ESPRESSO input file:
```
&SYSTEM
  ibrav = 0, nat = 4, ntyp = 3
/
ATOMIC_SPECIES
Tl 204.38 Tl.upf
Zn 65.41 Zn.upf
Bi 208.98 Bi.upf
CELL_PARAMETERS angstrom
2.266 1.308 6.777
-2.266 1.308 6.777
0.000 -2.617 6.777
ATOMIC_POSITIONS crystal
Tl 0.000 0.000 0.000
Zn 0.832 0.832 0.832
Bi 0.232 0.232 0.232
Bi 0.434 0.434 0.434
```

---

# 4
K2NdInO4 | PBE | optimized geometry Values from VASP.

Summary:
Crystal system: monoclinic
E_form (uncorrected), eV/atom: -2.04

Quantum ESPRESSO input file:
```
&SYSTEM
  ibrav = 0, nat = 8, ntyp = 4
/
ATOMIC_SPECIES
K 39.10 K.upf
Nd 144.24 Nd.upf
In 114.82 In.upf
O 16.00 O.upf
CELL_PARAMETERS angstrom
6.017 0.000 0.000
0.000 3.525 0.000
-2.051 0.000 6.288
ATOMIC_POSITIONS crystal
K 0.000 0.000 0.000
K 0.500 0.500 0.000
Nd 0.000 0.500 0.500
In 0.500 0.000 0.500
O 0.242 0.000 0.693
O 0.283 0.500 0.310
O 0.717 0.500 0.690
O 0.758 0.000 0.307
```

---

# 5
Ca2TlCdHg4 | PBE | optimized geometry Values from VASP.

Summary:
Crystal system: trigonal
Electronic total energy, eV for the cell shown: -11.3

Quantum ESPRESSO input file:
```
&SYSTEM
  ibrav = 0, nat = 8, ntyp = 4
/
ATOMIC_SPECIES
Ca 40.08 Ca.upf
Tl 204.38 Tl.upf
Cd 112.41 Cd.upf
Hg 200.59 Hg.upf
CELL_PARAMETERS angstrom
2.612 1.508 8.638
-2.612 1.508 8.638
0.000 -3.016 8.638
ATOMIC_POSITIONS crystal
Ca 0.250 0.250 0.250
Ca 0.750 0.750 0.750
Tl 0.000 0.000 0.000
Cd 0.500 0.500 0.500
Hg 0.129 0.129 0.129
Hg 0.378 0.378 0.378
Hg 0.622 0.622 0.622
Hg 0.871 0.871 0.871
```

---

# 6
Li2GaNi | PBE | optimized geometry Values from VASP.

Summary:
Crystal system: trigonal
Electronic total energy, eV for the cell shown: -12.3

Quantum ESPRESSO input file:
```
&SYSTEM
  ibrav = 0, nat = 4, ntyp = 3
/
ATOMIC_SPECIES
Li 6.94 Li.upf
Ga 69.72 Ga.upf
Ni 58.69 Ni.upf
CELL_PARAMETERS angstrom
1.341 0.774 9.223
-1.341 0.774 9.223
0.000 -1.548 9.223
ATOMIC_POSITIONS crystal
Li 0.083 0.083 0.083
Li 0.917 0.917 0.917
Ga 0.500 0.500 0.500
Ni 0.000 0.000 0.000
```

---

# 7
NdBiRh | PBE | optimized geometry Values from VASP.

Summary:
Crystal system: trigonal
Electronic total energy, eV for the cell shown: -36.3

Quantum ESPRESSO input file:
```
&SYSTEM
  ibrav = 0, nat = 6, ntyp = 3
/
ATOMIC_SPECIES
Nd 144.24 Nd.upf
Bi 208.98 Bi.upf
Rh 102.91 Rh.upf
CELL_PARAMETERS angstrom
2.374 1.371 7.885
-2.374 1.371 7.885
0.000 -2.741 7.885
ATOMIC_POSITIONS crystal
Nd 0.241 0.241 0.241
Nd 0.759 0.759 0.759
Bi 0.000 0.000 0.000
Bi 0.500 0.500 0.500
Rh 0.366 0.366 0.366
Rh 0.634 0.634 0.634
```

---

# 8
AsN3F | PBE | optimized geometry Values from VASP.

Summary:
Crystal system: cubic
E_form (uncorrected), eV/atom: 2.80

Quantum ESPRESSO input file:
```
&SYSTEM
  ibrav = 0, nat = 5, ntyp = 3
/
ATOMIC_SPECIES
As 74.92 As.upf
N 14.01 N.upf
F 19.00 F.upf
CELL_PARAMETERS angstrom
3.669 0.000 0.000
0.000 3.669 0.000
0.000 0.000 3.669
ATOMIC_POSITIONS crystal
As 0.000 0.000 0.000
N 0.000 0.500 0.500
N 0.500 0.000 0.500
N 0.500 0.500 0.000
F 0.500 0.500 0.500
```

---

# 9
Be3PtAu2 | PBE | optimized geometry Values from VASP.

Summary:
Crystal system: tetragonal
Electronic total energy, eV for the cell shown: -25.7

Quantum ESPRESSO input file:
```
&SYSTEM
  ibrav = 0, nat = 6, ntyp = 3
/
ATOMIC_SPECIES
Be 9.01 Be.upf
Pt 195.08 Pt.upf
Au 196.97 Au.upf
CELL_PARAMETERS angstrom
2.923 0.000 0.000
0.000 2.923 0.000
0.000 0.000 8.870
ATOMIC_POSITIONS crystal
Be 0.000 0.000 0.000
Be 0.000 0.000 0.350
Be 0.000 0.000 0.650
Pt 0.500 0.500 0.500
Au 0.500 0.500 0.170
Au 0.500 0.500 0.830
```

---

# 10
NaCd2Sn5 | PBE | optimized geometry Values from VASP.

Summary:
Crystal system: orthorhombic
Electronic total energy, eV for the cell shown: -23.0

Quantum ESPRESSO input file:
```
&SYSTEM
  ibrav = 0, nat = 8, ntyp = 3
/
ATOMIC_SPECIES
Na 22.99 Na.upf
Cd 112.41 Cd.upf
Sn 118.71 Sn.upf
CELL_PARAMETERS angstrom
-2.089 4.657 5.857
2.089 -4.657 5.857
2.089 4.657 -5.857
ATOMIC_POSITIONS crystal
Na 0.000 0.000 0.000
Cd 0.227 0.727 0.500
Cd 0.773 0.273 0.500
Sn 0.158 0.361 0.798
Sn 0.437 0.639 0.798
Sn 0.500 0.000 0.500
Sn 0.563 0.361 0.202
Sn 0.842 0.639 0.202
```